(1)
A plane-wave DFT calculation with GGA-PBE was carried out for Na4Pa3Te8Au after structural relaxation.

Computed properties:
ρ (g/cm³): 6.55
DOS at the Fermi energy (states/eV per atom): 1.136
Space group: C2/m
ΔE_f (raw) (eV/atom): -0.756
Energy (eV/atom): -4.64

Cell lengths 8.7182, 9.1785, 8.7805 Å; angles 118.80, 119.77, 90.00 degrees
Closest atoms and distances in Å follow each position.
Sites, in units of the cell vectors:
Na  0.5000  0.0000  0.5000  6 Te 3.21-3.26
Na  0.5000  0.0000  0.0000  6 Te 3.24-3.28
Na  0.0000  0.0000  0.0000  6 Te 3.23-3.24
Na  0.0000  0.0000  0.5000  6 Te 3.21-3.26
Pa  0.5000  0.5000  0.5000  6 Te 3.09-3.12
Pa  0.0000  0.5000  0.5000  6 Te 3.09-3.12
Pa  0.5000  0.5000  0.0000  6 Te 3.09-3.12
Te  0.7458  0.7391  0.4917  3 Pa 3.12, 3 Na 3.21-3.23
Te  0.7594  0.2700  0.0118  1 Au 3.05, 2 Pa 3.09-3.10, 3 Na 3.24-3.28
Te  0.7542  0.2657  0.5084  2 Pa 3.09, 1 Au 3.12, 3 Na 3.24
Te  0.2458  0.7343  0.4916  2 Pa 3.09, 1 Au 3.12, 3 Na 3.24
Te  0.2523  0.2700  0.0118  1 Au 3.05, 2 Pa 3.09-3.10, 3 Na 3.24-3.28
Te  0.2542  0.2609  0.5083  3 Pa 3.12, 3 Na 3.21-3.23
Te  0.7477  0.7300  0.9882  1 Au 3.05, 2 Pa 3.09-3.10, 3 Na 3.24-3.28
Te  0.2406  0.7300  0.9882  1 Au 3.05, 2 Pa 3.09-3.10, 3 Na 3.24-3.28
Au  0.0000  0.5000  0.0000  6 Te 3.05-3.12

=====

(2)
A plane-wave DFT calculation with GGA-PBE was carried out for Si2IrRu after structural relaxation.

Computed properties:
ρ (g/cm³): 10.21
DOS at the Fermi energy (states/eV per atom): 1.040
Space group: P4mm
ΔE_f (raw) (eV/atom): -0.042
Energy (eV/atom): -7.29

Cell lengths 2.7742, 2.7742, 7.3868 Å; angles 90.00, 90.00, 90.00 degrees
Closest atoms and distances in Å follow each position.
Sites, in units of the cell vectors:
Ru  0.5000  0.5000  0.7603  4 Si 2.52, 4 Ru 2.77, 4 Ir 2.79
Si  0.5000  0.5000  0.2741  4 Ir 2.54, 4 Si 2.77
Si  0.0000  0.0000  0.9737  4 Ru 2.52, 4 Si 2.77
Ir  0.0000  0.0000  0.4919  4 Si 2.54, 4 Ir 2.77, 4 Ru 2.79

=====

(3)
A plane-wave DFT calculation with GGA-PBE was carried out for Nb3VTc2 after structural relaxation.

Computed properties:
ρ (g/cm³): 8.98
DOS at the Fermi energy (states/eV per atom): 0.575
Space group: P4/mmm
Energy (eV/atom): -10.27

Cell lengths 3.1808, 3.1808, 9.6027 Å; angles 90.00, 90.00, 90.00 degrees
Closest atoms and distances in Å follow each position.
Sites, in units of the cell vectors:
Tc  0.5000  0.5000  0.1666  8 Nb 2.76
Tc  0.5000  0.5000  0.8334  8 Nb 2.76
Nb  0.0000  0.0000  0.6666  4 V 2.76, 4 Tc 2.76
Nb  0.0000  0.0000  0.0000  8 Tc 2.76
Nb  0.0000  0.0000  0.3335  4 V 2.76, 4 Tc 2.76
V  0.5000  0.5000  0.5000  8 Nb 2.76

=====

(4)
A plane-wave DFT calculation with GGA-PBE was carried out for NbTe2IO after structural relaxation.

Computed properties:
ρ (g/cm³): 5.17
DOS at the Fermi energy (states/eV per atom): 2.993
Space group: P4/mmm
Relative energy among the computed polymorphs (eV per atom): 0.194
ΔE_f (raw) (eV/atom): 0.647
Energy (eV/atom): -3.93

Cell lengths 5.3501, 5.3501, 5.5060 Å; angles 90.00, 90.00, 90.00 degrees
Closest atoms and distances in Å follow each position.
Sites, in units of the cell vectors:
Te  0.5000  0.0000  0.0000  2 Nb 2.68
Te  0.0000  0.5000  0.0000  2 Nb 2.68
Nb  0.0000  0.0000  0.0000  4 Te 2.68, 2 I 2.75
O  0.5000  0.5000  0.5000  4 I 3.78, 8 Te 3.84
I  0.0000  0.0000  0.5000  2 Nb 2.75

=====

(5)
A plane-wave DFT calculation with GGA-PBE was carried out for Tm2ZrAl after structural relaxation.

Computed properties:
ρ (g/cm³): 7.48
DOS at the Fermi energy (states/eV per atom): 1.219
Space group: R3m
Relative energy among the computed polymorphs (eV per atom): 0.125
Energy (eV/atom): -5.36

Cell lengths 3.3936, 3.3936, 10.3336 Å; angles 80.55, 80.55, 60.00 degrees
Closest atoms and distances in Å follow each position.
Sites, in units of the cell vectors:
Al  0.6664  0.6664  0.0007  6 Tm 3.10-3.11, 6 Al 3.39
Tm  0.0793  0.0793  0.7622  3 Al 3.11, 3 Zr 3.31, 6 Tm 3.39
Tm  0.2542  0.2542  0.2374  3 Al 3.10, 3 Zr 3.30, 6 Tm 3.39
Zr  0.5001  0.5001  0.4997  6 Tm 3.30-3.31, 6 Zr 3.39

=====

(6)
A plane-wave DFT calculation with GGA-PBE was carried out for YHo2Hg2 after structural relaxation.

Computed properties:
ρ (g/cm³): 10.18
DOS at the Fermi energy (states/eV per atom): 0.874
Space group: P2_1/m
Relative energy among the computed polymorphs (eV per atom): 0.000
Energy (eV/atom): -3.64

Cell lengths 3.7357, 5.2803, 13.6940 Å; angles 90.00, 97.89, 90.00 degrees
Closest atoms and distances in Å follow each position.
Sites, in units of the cell vectors:
Hg  0.4533  0.7500  0.9057  6 Ho 3.17-3.23, 2 Y 3.27
Hg  0.6437  0.7500  0.2879  4 Ho 3.11-3.22, 4 Y 3.23-3.24
Hg  0.5467  0.2500  0.0943  6 Ho 3.17-3.23, 2 Y 3.27
Hg  0.3563  0.2500  0.7121  4 Ho 3.11-3.22, 4 Y 3.23-3.24
Ho  0.7648  0.2500  0.5291  2 Hg 3.11, 4 Ho 3.33
Ho  0.2352  0.7500  0.4709  2 Hg 3.11, 4 Ho 3.33
Ho  0.9529  0.2500  0.9052  8 Hg 3.17-3.23
Ho  0.0471  0.7500  0.0948  8 Hg 3.17-3.23
Y  0.1464  0.2500  0.2925  6 Hg 3.23-3.27, 2 Ho 3.58
Y  0.8536  0.7500  0.7075  6 Hg 3.23-3.27, 2 Ho 3.58

=====

(7)
A plane-wave DFT calculation with GGA-PBE was carried out for MgPa2SiN6 after structural relaxation.

Computed properties:
ρ (g/cm³): 7.89
DOS at the Fermi energy (states/eV per atom): 0.604
Space group: P4mm
ΔE_f (raw) (eV/atom): -0.767
Energy (eV/atom): -8.36

Cell lengths 4.8912, 5.0746, 5.0746 Å; angles 90.00, 90.00, 90.00 degrees
Closest atoms and distances in Å follow each position.
Sites, in units of the cell vectors:
N  0.2208  0.0000  0.0000  1 Si 1.76
N  0.7267  0.2337  0.7663  1 Si 1.82
N  0.1454  0.5000  0.5000  1 Mg 2.05
N  0.7267  0.7663  0.7663  1 Si 1.82
N  0.7267  0.7663  0.2337  1 Si 1.82
N  0.7267  0.2337  0.2337  1 Si 1.82
Si  0.5802  0.0000  0.0000  5 N 1.76-1.82
Pa  0.0143  0.0000  0.5000  4 N 2.28
Pa  0.0143  0.5000  0.0000  4 N 2.28
Mg  0.5649  0.5000  0.5000  5 N 2.05-2.07

=====

(8)
A plane-wave DFT calculation with GGA-PBE was carried out for SrCoSe2 after structural relaxation.

Computed properties:
ρ (g/cm³): 5.40
DOS at the Fermi energy (states/eV per atom): 1.077
Space group: I-42d
Relative energy among the computed polymorphs (eV per atom): 0.000
ΔE_f (raw) (eV/atom): -0.926
Energy (eV/atom): -4.87

Cell lengths 7.2788, 7.2788, 6.2445 Å; angles 54.35, 54.35, 90.00 degrees
Closest atoms and distances in Å follow each position.
Sites, in units of the cell vectors:
Se  0.8750  0.7832  0.7500  2 Co 2.33
Se  0.3750  0.4668  0.7500  2 Co 2.33
Se  0.5332  0.1250  0.2500  2 Co 2.33
Se  0.2168  0.6250  0.2500  2 Co 2.33
Co  0.2500  0.7500  0.5000  4 Se 2.33
Co  0.5000  0.5000  0.0000  4 Se 2.33
Sr  0.7500  0.2500  0.5000  8 Se 3.21-3.42, 2 Co 3.54
Sr  0.0000  0.0000  0.0000  8 Se 3.21-3.42, 2 Co 3.54

=====

(9)
A plane-wave DFT calculation with GGA-PBE was carried out for AsRu3 after structural relaxation.

Computed properties:
ρ (g/cm³): 11.06
DOS at the Fermi energy (states/eV per atom): 0.853
Space group: Pmmn
Relative energy among the computed polymorphs (eV per atom): 0.104
Energy (eV/atom): -7.95

Cell lengths 4.2916, 4.7406, 5.5822 Å; angles 90.00, 90.00, 90.00 degrees
Closest atoms and distances in Å follow each position.
Sites, in units of the cell vectors:
Ru  0.0000  0.6636  0.5000  4 As 2.62-2.79, 8 Ru 2.71-2.75
Ru  0.5000  0.8414  0.7590  8 Ru 2.62-2.89, 4 As 2.69-2.80
Ru  0.5000  0.8414  0.2410  8 Ru 2.62-2.89, 4 As 2.69-2.80
Ru  0.0000  0.1586  0.7410  8 Ru 2.62-2.89, 4 As 2.69-2.80
Ru  0.5000  0.3364  0.0000  4 As 2.62-2.79, 8 Ru 2.71-2.75
Ru  0.0000  0.1586  0.2590  8 Ru 2.62-2.89, 4 As 2.69-2.80
As  0.5000  0.3472  0.5000  12 Ru 2.62-2.80
As  0.0000  0.6528  0.0000  12 Ru 2.62-2.80

=====

(10)
A plane-wave DFT calculation with GGA-PBE was carried out for InGa2CuBr after structural relaxation.

Computed properties:
ρ (g/cm³): 5.44
DOS at the Fermi energy (states/eV per atom): 0.241
Space group: P4/mmm
ΔE_f (raw) (eV/atom): -0.126
Energy (eV/atom): -3.04

Cell lengths 4.7836, 4.7836, 5.3057 Å; angles 90.00, 90.00, 90.00 degrees
Closest atoms and distances in Å follow each position.
Sites, in units of the cell vectors:
Ga  0.0000  0.5000  0.0000  2 Cu 2.39
Ga  0.5000  0.0000  0.0000  2 Cu 2.39
Cu  0.0000  0.0000  0.0000  4 Ga 2.39, 2 In 2.65
Br  0.5000  0.5000  0.5000  4 In 3.38, 8 Ga 3.57
In  0.0000  0.0000  0.5000  2 Cu 2.65

=====

(11)
A plane-wave DFT calculation with GGA-PBE was carried out for NdS6F2 after structural relaxation.

Computed properties:
ρ (g/cm³): 2.71
DOS at the Fermi energy (states/eV per atom): 0.198
Space group: P-1
ΔE_f (raw) (eV/atom): -1.139
Energy (eV/atom): -4.84

Cell lengths 3.7356, 8.7407, 7.8284 Å; angles 114.25, 94.04, 97.05 degrees
Closest atoms and distances in Å follow each position.
Sites, in units of the cell vectors:
S  0.9559  0.7567  0.4644  2 S 1.94-2.02
S  0.0441  0.2433  0.5356  2 S 1.94-2.02
S  0.8395  0.6733  0.6626  1 S 2.02
S  0.8383  0.5760  0.2103  1 S 1.94
S  0.1605  0.3267  0.3374  1 S 2.02
S  0.1617  0.4240  0.7897  1 S 1.94
Nd  0.0000  0.0000  0.0000  4 F 2.30-2.31
F  0.4956  0.9217  0.1169  2 Nd 2.30-2.31
F  0.5044  0.0783  0.8831  2 Nd 2.30-2.31

=====

(12)
A plane-wave DFT calculation with GGA-PBE was carried out for Li4Bi2Pb3 after structural relaxation.

Computed properties:
ρ (g/cm³): 7.88
DOS at the Fermi energy (states/eV per atom): 0.282
Space group: P-1
Energy (eV/atom): -3.21

Cell lengths 4.6476, 5.2581, 10.3704 Å; angles 81.83, 89.95, 63.93 degrees
Closest atoms and distances in Å follow each position.
Sites, in units of the cell vectors:
Bi  0.6738  0.6517  0.2049  7 Li 3.03-3.23, 2 Pb 3.39-3.40
Bi  0.3262  0.3483  0.7951  7 Li 3.03-3.23, 2 Pb 3.39-3.40
Li  0.9971  0.0074  0.6908  3 Bi 3.11-3.13, 4 Pb 3.16-3.22, 2 Li 3.35
Li  0.3360  0.3281  0.1080  4 Bi 3.03-3.23, 4 Pb 3.10-3.37, 2 Li 3.35
Li  0.0029  0.9926  0.3092  3 Bi 3.11-3.13, 4 Pb 3.16-3.22, 2 Li 3.35
Li  0.6640  0.6719  0.8920  4 Bi 3.03-3.23, 4 Pb 3.10-3.37, 2 Li 3.35
Pb  0.6696  0.6642  0.5677  4 Li 3.16-3.37, 3 Pb 3.23-3.26, 2 Bi 3.47-3.48
Pb  0.0000  0.0000  0.0000  8 Li 3.10-3.20, 4 Bi 3.39-3.40
Pb  0.3304  0.3358  0.4323  4 Li 3.16-3.37, 3 Pb 3.23-3.26, 2 Bi 3.47-3.48